Entry 1:
This record from Alexandria describes a relaxed ZrV2BN crystal. The functional is PBE. Values from VASP.

Output
Raw formation energy (meV/atom): 2756
Space group: P4/mmm (123)

Structure (Quantum ESPRESSO input):
```
&SYSTEM
  ibrav = 0, nat = 5, ntyp = 4
/
ATOMIC_SPECIES
B 10.81 B.upf
N 14.01 N.upf
Zr 91.22 Zr.upf
V 50.94 V.upf
CELL_PARAMETERS angstrom
-1.876 1.166 4.079
1.137 -3.701 1.580
4.051 1.818 1.344
ATOMIC_POSITIONS angstrom
B 0.568 -1.851 0.790
N 1.656 -0.359 3.502
Zr 0.000 0.000 0.000
V 2.025 0.909 0.672
V -0.938 0.583 2.040
```

---

Entry 2:
This record from Alexandria describes a relaxed MgFePt2 crystal. The functional is PBE. Values from VASP.

Output
Energy of formation (eV/atom): -0.328
Space group: C2/m (12)

Structure (Quantum ESPRESSO input):
```
&SYSTEM
  ibrav = 0, nat = 4, ntyp = 3
/
ATOMIC_SPECIES
Fe 55.84 Fe.upf
Mg 24.30 Mg.upf
Pt 195.08 Pt.upf
CELL_PARAMETERS angstrom
-4.430 -0.726 0.937
-3.709 -2.413 -1.204
0.440 -3.856 3.186
ATOMIC_POSITIONS angstrom
Fe -5.774 -5.246 2.190
Mg -1.925 -1.749 0.730
Pt 0.409 -3.834 3.158
Pt -3.819 -3.520 1.488
```

---

Entry 3:
This record from Alexandria describes a relaxed NpGaAu2 crystal. The functional is PBE. Values from VASP.

Output
Energy of formation (eV/atom): -0.125
Space group: P4/mmm (123)

Structure (Quantum ESPRESSO input):
```
&SYSTEM
  ibrav = 0, nat = 4, ntyp = 3
/
ATOMIC_SPECIES
Np 237.00 Np.upf
Au 196.97 Au.upf
Ga 69.72 Ga.upf
CELL_PARAMETERS angstrom
-2.809 -0.366 -1.455
-0.638 -2.504 1.861
-3.345 4.763 5.261
ATOMIC_POSITIONS angstrom
Np -1.723 -1.435 0.203
Au -2.404 3.424 3.782
Au -0.941 1.339 1.479
Ga -3.396 0.947 2.834
```

---

Number 1: calculated density 4.021 Mg/m³. Number 2: calculated density 12.841 Mg/m³. Number 3: calculated density 14.624 Mg/m³.